#1
11
Lattice="6.569 -1.837 0.000 6.569 1.837 0.000 -1.566 0.000 5.573" Properties=species:S:1:pos:R:3 comment="Ni8Pt2Rh | Alexandria | PBE | optimized geometry" magnetic_moment_mub_per_cell=7.26 vol_a3_per_fu=134.48 pbc="T T T"
Ni 0.199 0.000 1.252
Ni 0.710 0.000 3.765
Ni 3.289 0.000 3.291
Ni 5.359 0.000 0.262
Ni 6.212 0.000 5.311
Ni 8.281 0.000 2.282
Ni 10.861 0.000 1.808
Ni 11.372 0.000 4.321
Pt 2.716 0.000 0.805
Pt 8.855 0.000 4.768
Rh 5.785 0.000 2.787

#2
11
Lattice="3.339 -6.298 0.000 3.339 6.298 0.000 -2.860 0.000 3.313" Properties=species:S:1:pos:R:3 comment="Ni8Pt2Rh | Alexandria | PBE | optimized geometry" magnetic_moment_mub_per_cell=7.39 vol_a3_per_fu=139.34 pbc="T T T"
Ni -0.544 1.642 2.436
Ni 3.339 3.787 0.000
Ni -0.544 -1.642 2.436
Ni 1.193 0.000 2.466
Ni 2.624 0.000 0.847
Ni 4.361 1.642 0.877
Ni 3.339 -3.787 0.000
Ni 4.361 -1.642 0.877
Pt 1.909 2.325 1.656
Pt 1.909 -2.325 1.656
Rh 0.000 0.000 0.000

The structure with the most favorable energy is #1; the runner-up is 180 meV/atom above it.

#1
9
Lattice="7.156 -1.392 0.000 7.156 1.392 0.000 -4.772 0.000 6.774" Properties=species:S:1:pos:R:3 comment="NiPt6Rh2 | Alexandria | PBE | optimized geometry" magnetic_moment_mub_per_cell=3.21 vol_a3_per_fu=134.93 pbc="T T T"
Ni 0.000 0.000 0.000
Pt -1.529 0.000 2.220
Pt 3.162 0.000 2.260
Pt 0.085 0.000 6.756
Pt 9.454 0.000 0.018
Pt 6.377 0.000 4.515
Pt 11.069 0.000 4.555
Rh 1.585 0.000 4.527
Rh 7.954 0.000 2.247

#2
9
Lattice="4.377 -1.957 0.000 4.377 1.957 0.000 -2.625 0.000 7.844" Properties=species:S:1:pos:R:3 comment="NiPt6Rh2 | Alexandria | PBE | optimized geometry" magnetic_moment_mub_per_cell=2.43 vol_a3_per_fu=134.40 pbc="T T T"
Ni 0.000 0.000 0.000
Pt -0.859 0.000 2.599
Pt 2.625 0.000 0.858
Pt 0.889 0.000 6.114
Pt 5.240 0.000 1.730
Pt 3.504 0.000 6.986
Pt 6.988 0.000 5.245
Rh 1.759 0.000 3.505
Rh 4.370 0.000 4.339

The structure with the most favorable energy is #2; the runner-up is 22 meV/atom above it.

#1
8
Lattice="10.794 -1.347 0.000 10.794 1.347 0.000 -0.279 0.000 4.317" Properties=species:S:1:pos:R:3 comment="NiPt3Rh4 | Alexandria | PBE | optimized geometry" magnetic_moment_mub_per_cell=0.00 vol_a3_per_fu=125.50 pbc="T T T"
Ni 0.000 0.000 0.000
Pt 6.115 0.000 1.095
Pt 10.654 0.000 2.158
Pt 15.193 0.000 3.222
Rh 1.967 0.000 3.102
Rh 3.415 0.000 1.012
Rh 17.893 0.000 3.305
Rh 19.341 0.000 1.215

#2
8
Lattice="-1.933 1.933 7.737 1.933 -1.933 7.737 1.933 1.933 -7.737" Properties=species:S:1:pos:R:3 comment="NiPt3Rh4 | Alexandria | PBE | optimized geometry" magnetic_moment_mub_per_cell=2.07 vol_a3_per_fu=115.64 pbc="T T T"
Ni 0.000 0.000 0.000
Pt 0.000 0.000 3.877
Pt 0.000 0.000 7.737
Pt 0.000 0.000 11.597
Rh 1.933 0.000 1.876
Rh 1.933 0.000 5.861
Rh 0.000 1.933 1.876
Rh 0.000 1.933 5.861

The structure with the most favorable energy is #2; the runner-up is 273 meV/atom above it.

#1
12
Lattice="4.065 -5.279 0.000 4.065 5.279 0.000 0.000 0.000 4.202" Properties=species:S:1:pos:R:3 comment="NiPt4Rh | Alexandria | PBE | optimized geometry" magnetic_moment_mub_per_cell=3.95 vol_a3_per_fu=90.18 pbc="T T T"
Ni 4.065 4.625 3.152
Ni 4.065 -4.625 1.051
Pt 2.744 3.498 1.051
Pt 2.702 0.795 1.051
Pt 5.386 3.498 1.051
Pt 2.702 -0.795 3.152
Pt 5.428 0.795 1.051
Pt 2.744 -3.498 3.152
Pt 5.428 -0.795 3.152
Pt 5.386 -3.498 3.152
Rh 4.065 2.039 3.152
Rh 4.065 -2.039 1.051

#2
12
Lattice="5.044 0.000 0.000 0.000 7.730 0.000 -1.412 0.000 5.212" Properties=species:S:1:pos:R:3 comment="NiPt4Rh | Alexandria | PBE | optimized geometry" magnetic_moment_mub_per_cell=2.06 vol_a3_per_fu=101.60 pbc="T T T"
Ni 0.586 1.932 2.258
Ni 3.046 5.797 2.954
Pt 0.492 5.797 2.265
Pt -0.167 1.932 4.879
Pt 1.452 0.005 3.892
Pt 1.452 3.860 3.892
Pt 2.180 3.870 1.320
Pt 2.180 7.724 1.320
Pt 3.800 5.797 0.333
Pt 3.140 1.932 2.947
Rh -0.195 5.797 4.839
Rh 3.828 1.932 0.373

#3
6
Lattice="0.000 3.674 3.674 3.674 0.000 3.674 3.674 3.674 0.000" Properties=species:S:1:pos:R:3 comment="NiPt4Rh | Alexandria | PBE | optimized geometry" magnetic_moment_mub_per_cell=2.86 vol_a3_per_fu=99.16 pbc="T T T"
Ni 0.000 0.000 0.000
Pt 4.593 2.755 2.755
Pt 2.755 4.593 2.755
Pt 2.755 2.755 4.593
Pt 4.593 4.593 4.593
Rh 1.837 1.837 1.837

The structure with the most favorable energy is #1; the runner-up is 175 meV/atom above it.

#1
5
Lattice="4.400 0.000 0.000 0.000 4.400 0.000 0.000 0.000 4.400" Properties=species:S:1:pos:R:3 comment="NiRu3Pt | Alexandria | PBE | optimized geometry" magnetic_moment_mub_per_cell=5.16 vol_a3_per_fu=85.19 pbc="T T T"
Ni 0.000 0.000 0.000
Ru 0.000 0.000 2.200
Ru 0.000 2.200 0.000
Ru 2.200 0.000 0.000
Pt 2.200 2.200 2.200

#2
5
Lattice="4.762 0.000 0.000 0.000 4.762 0.000 0.000 0.000 4.762" Properties=species:S:1:pos:R:3 comment="NiRu3Pt | Alexandria | PBE | optimized geometry" magnetic_moment_mub_per_cell=6.30 vol_a3_per_fu=108.00 pbc="T T T"
Ni 0.000 0.000 0.000
Ru 0.000 2.381 2.381
Ru 2.381 0.000 2.381
Ru 2.381 2.381 0.000
Pt 2.381 2.381 2.381

The structure with the most favorable energy is #1; the runner-up is 702 meV/atom above it.

#1
6
Lattice="-1.792 2.697 4.800 1.792 -2.697 4.800 1.792 2.697 -4.800" Properties=species:S:1:pos:R:3 comment="NiRuPt4 | Alexandria | PBE | optimized geometry" magnetic_moment_mub_per_cell=0.53 vol_a3_per_fu=92.81 pbc="T T T"
Ni 0.000 0.000 0.000
Ru 0.000 2.697 0.000
Pt 1.792 1.315 -1.414
Pt 1.792 1.315 1.414
Pt 0.000 1.382 3.386
Pt 0.000 1.382 6.213

#2
6
Lattice="0.000 3.673 3.673 3.673 0.000 3.673 3.673 3.673 0.000" Properties=species:S:1:pos:R:3 comment="NiRuPt4 | Alexandria | PBE | optimized geometry" magnetic_moment_mub_per_cell=3.89 vol_a3_per_fu=99.11 pbc="T T T"
Ni 0.000 0.000 0.000
Ru 1.837 1.837 1.837
Pt 4.592 2.754 2.754
Pt 2.754 4.592 2.754
Pt 2.754 2.754 4.592
Pt 4.592 4.592 4.592

The structure with the most favorable energy is #1; the runner-up is 277 meV/atom above it.

#1
10
Lattice="6.898 0.000 0.000 0.000 6.898 0.000 0.000 0.000 3.486" Properties=species:S:1:pos:R:3 comment="Ni2Sb2Pt | Alexandria | PBE | optimized geometry" magnetic_moment_mub_per_cell=0.00 vol_a3_per_fu=82.94 pbc="T T T"
Ni 0.889 2.561 0.000
Ni 2.561 6.010 0.000
Ni 4.338 0.889 0.000
Ni 6.010 4.338 0.000
Sb 1.197 4.646 1.743
Sb 2.252 1.197 1.743
Sb 4.646 5.701 1.743
Sb 5.701 2.252 1.743
Pt 0.000 0.000 0.000
Pt 3.449 3.449 0.000

#2
10
Lattice="7.372 0.000 0.000 0.000 7.372 0.000 0.000 0.000 3.158" Properties=species:S:1:pos:R:3 comment="Ni2Sb2Pt | Alexandria | PBE | optimized geometry" magnetic_moment_mub_per_cell=0.00 vol_a3_per_fu=85.82 pbc="T T T"
Ni 0.916 2.770 0.000
Ni 2.770 6.456 0.000
Ni 4.602 0.916 0.000
Ni 6.456 4.602 0.000
Sb 1.248 4.934 1.579
Sb 2.438 1.248 1.579
Sb 4.934 6.124 1.579
Sb 6.124 2.438 1.579
Pt 0.000 0.000 1.579
Pt 3.686 3.686 1.579

The structure with the most favorable energy is #1; the runner-up is 147 meV/atom above it.

#1
5
Lattice="4.838 0.000 0.000 0.000 4.838 0.000 0.000 0.000 5.050" Properties=species:S:1:pos:R:3 comment="NiSb2TePt | Alexandria | PBE | optimized geometry" magnetic_moment_mub_per_cell=0.00 vol_a3_per_fu=118.20 pbc="T T T"
Ni 0.000 0.000 0.000
Sb 0.000 2.419 0.000
Sb 2.419 0.000 0.000
Te 0.000 0.000 2.525
Pt 2.419 2.419 2.525

#2
5
Lattice="5.158 0.000 0.000 0.000 5.158 0.000 0.000 0.000 5.478" Properties=species:S:1:pos:R:3 comment="NiSb2TePt | Alexandria | PBE | optimized geometry" magnetic_moment_mub_per_cell=0.64 vol_a3_per_fu=145.71 pbc="T T T"
Ni 0.000 0.000 0.000
Sb 0.000 2.579 2.739
Sb 2.579 0.000 2.739
Te 2.579 2.579 0.000
Pt 2.579 2.579 2.739

The structure with the most favorable energy is #1; the runner-up is 327 meV/atom above it.

#1
10
Lattice="6.803 0.000 0.000 0.000 6.803 0.000 0.000 0.000 3.418" Properties=species:S:1:pos:R:3 comment="Sc2Ni2Pt | Alexandria | PBE | optimized geometry" magnetic_moment_mub_per_cell=0.00 vol_a3_per_fu=79.10 pbc="T T T"
Sc 1.228 2.173 0.000
Sc 2.173 5.575 0.000
Sc 4.630 1.228 0.000
Sc 5.575 4.630 0.000
Ni 0.831 4.232 1.709
Ni 2.571 0.831 1.709
Ni 4.232 5.972 1.709
Ni 5.972 2.571 1.709
Pt 0.000 0.000 1.709
Pt 3.402 3.402 1.709

#2
5
Lattice="-2.405 2.405 3.670 2.405 -2.405 3.670 2.405 2.405 -3.670" Properties=species:S:1:pos:R:3 comment="Sc2Ni2Pt | Alexandria | PBE | optimized geometry" magnetic_moment_mub_per_cell=0.00 vol_a3_per_fu=84.91 pbc="T T T"
Sc 2.405 0.000 1.835
Sc 0.000 2.405 1.835
Ni 0.000 0.000 1.102
Ni 0.000 0.000 6.238
Pt 0.000 0.000 3.670

The structure with the most favorable energy is #1; the runner-up is 250 meV/atom above it.

#1
6
Lattice="5.082 0.000 0.000 0.000 3.706 0.000 -0.006 0.000 6.414" Properties=species:S:1:pos:R:3 comment="NiPtSe4 | Alexandria | PBE | optimized geometry" magnetic_moment_mub_per_cell=0.00 vol_a3_per_fu=120.80 pbc="T T T"
Ni 0.000 0.000 0.000
Pt -0.003 1.853 3.207
Se 1.212 1.853 0.996
Se 1.294 0.000 4.339
Se 3.781 0.000 2.075
Se 3.864 1.853 5.418

#2
6
Lattice="0.000 3.902 3.902 3.902 0.000 3.902 3.902 3.902 0.000" Properties=species:S:1:pos:R:3 comment="NiPtSe4 | Alexandria | PBE | optimized geometry" magnetic_moment_mub_per_cell=1.25 vol_a3_per_fu=118.83 pbc="T T T"
Ni 0.000 0.000 0.000
Pt 5.853 5.853 5.853
Se 2.933 2.933 2.933
Se 4.872 4.872 2.933
Se 4.872 2.933 4.872
Se 2.933 4.872 4.872

The structure with the most favorable energy is #1; the runner-up is 1374 meV/atom above it.

#1
3
Lattice="3.671 0.000 0.000 -1.836 3.179 0.000 0.000 0.000 4.107" Properties=species:S:1:pos:R:3 comment="NiPtSe | Alexandria | PBE | optimized geometry" magnetic_moment_mub_per_cell=0.00 vol_a3_per_fu=47.94 pbc="T T T"
Ni 0.000 0.000 0.000
Pt 1.836 1.060 1.410
Se 0.000 2.120 2.939

#2
3
Lattice="0.000 2.974 2.974 2.974 0.000 2.974 2.974 2.974 0.000" Properties=species:S:1:pos:R:3 comment="NiPtSe | Alexandria | PBE | optimized geometry" magnetic_moment_mub_per_cell=0.52 vol_a3_per_fu=52.61 pbc="T T T"
Ni 0.000 0.000 0.000
Pt 1.487 1.487 1.487
Se 2.974 2.974 2.974

#3
3
Lattice="-1.611 1.611 4.331 1.611 -1.611 4.331 1.611 1.611 -4.331" Properties=species:S:1:pos:R:3 comment="NiPtSe | Alexandria | PBE | optimized geometry" magnetic_moment_mub_per_cell=0.00 vol_a3_per_fu=44.98 pbc="T T T"
Ni 0.000 0.000 0.000
Pt 0.000 0.000 2.758
Se 0.000 0.000 5.296

The structure with the most favorable energy is #1; the runner-up is 30 meV/atom above it.

#1
5
Lattice="4.482 0.000 0.000 0.000 4.482 0.000 0.000 0.000 4.482" Properties=species:S:1:pos:R:3 comment="SiNiPt3 | Alexandria | PBE | optimized geometry" magnetic_moment_mub_per_cell=0.67 vol_a3_per_fu=90.03 pbc="T T T"
Si 0.000 0.000 0.000
Ni 2.241 2.241 2.241
Pt 0.000 0.000 2.241
Pt 0.000 2.241 0.000
Pt 2.241 0.000 0.000

#2
5
Lattice="4.552 0.000 0.000 0.000 4.552 0.000 0.000 0.000 4.552" Properties=species:S:1:pos:R:3 comment="SiNiPt3 | Alexandria | PBE | optimized geometry" magnetic_moment_mub_per_cell=0.63 vol_a3_per_fu=94.31 pbc="T T T"
Si 0.000 0.000 0.000
Ni 2.276 2.276 2.276
Pt 0.000 2.276 2.276
Pt 2.276 0.000 2.276
Pt 2.276 2.276 0.000

The structure with the most favorable energy is #1; the runner-up is 579 meV/atom above it.